## BaNdTl (GGA-PBE)

Data for a geometry-optimized BaNdTl structure.

Results
Space-group type: F-43m (216)
Energy above the most stable polymorph in this dataset: 0.0000 eV/atom
Raw total energy: -3.03 eV per atom
Magnetization: 0.012 μB per formula unit
V: 126.4 Å³ per cell

Cell lengths 5.633, 5.633, 5.633 Å; angles 60.00, 60.00, 60.00 degrees
Fractional coordinates of all 3 atoms:
Tl1 0.000 0.000 0.000
Nd1 0.750 0.750 0.750
Ba1 0.250 0.250 0.250